# PBE CaPm2ScS4, relaxed
data_CaPm2ScS4
_chemical_formula_sum 'Ca1 Pm2 Sc1 S4'
_space_group_name_H-M_alt 'P 1'
_space_group_IT_number 1
_cell_length_a 6.814
_cell_length_b 3.917
_cell_length_c 6.871
_cell_angle_alpha 90.00
_cell_angle_beta 109.00
_cell_angle_gamma 90.00
loop_
_space_group_symop_operation_xyz
'x,y,z'
loop_
_atom_site_label
_atom_site_fract_x
_atom_site_fract_y
_atom_site_fract_z
_atom_site_occupancy
Ca1 0.000 0.000 0.000 1
Pm1 0.000 0.500 0.500 1
Pm2 0.500 0.000 0.500 1
Sc1 0.500 0.500 0.000 1
S1 0.254 0.500 0.236 1
S2 0.265 0.000 0.771 1
S3 0.735 0.000 0.229 1
S4 0.746 0.500 0.764 1
# - volume (Å³ per cell) = 173.42
# - raw formation energy (meV per atom) = -1978
# - SG = P2/m (10)


# PBE CaPmSc2S4, relaxed
data_CaPmSc2S4
_chemical_formula_sum 'Ca1 Pm1 Sc2 S4'
_space_group_name_H-M_alt 'P 1'
_space_group_IT_number 1
_cell_length_a 6.683
_cell_length_b 3.827
_cell_length_c 6.701
_cell_angle_alpha 90.00
_cell_angle_beta 109.02
_cell_angle_gamma 90.00
loop_
_space_group_symop_operation_xyz
'x,y,z'
loop_
_atom_site_label
_atom_site_fract_x
_atom_site_fract_y
_atom_site_fract_z
_atom_site_occupancy
Ca1 0.000 0.000 0.000 1
Pm1 0.500 0.500 0.000 1
Sc1 0.000 0.500 0.500 1
Sc2 0.500 0.000 0.500 1
S1 0.238 0.000 0.727 1
S2 0.254 0.500 0.271 1
S3 0.746 0.500 0.729 1
S4 0.762 0.000 0.273 1
# - volume (Å³ per cell) = 162.02
# - raw formation energy (meV per atom) = -1947
# - SG = P2/m (10)


# PBE Ca2PmScS4, relaxed
data_Ca2PmScS4
_chemical_formula_sum 'Ca2 Pm1 Sc1 S4'
_space_group_name_H-M_alt 'P 1'
_space_group_IT_number 1
_cell_length_a 6.790
_cell_length_b 3.923
_cell_length_c 6.912
_cell_angle_alpha 90.00
_cell_angle_beta 109.12
_cell_angle_gamma 90.00
loop_
_space_group_symop_operation_xyz
'x,y,z'
loop_
_atom_site_label
_atom_site_fract_x
_atom_site_fract_y
_atom_site_fract_z
_atom_site_occupancy
Ca1 0.000 0.000 0.000 1
Ca2 0.500 0.500 0.000 1
Pm1 0.000 0.500 0.500 1
Sc1 0.500 0.000 0.500 1
S1 0.262 0.000 0.747 1
S2 0.266 0.500 0.262 1
S3 0.734 0.500 0.738 1
S4 0.738 0.000 0.253 1
# - volume (Å³ per cell) = 173.95
# - raw formation energy (meV per atom) = -1997
# - SG = P2/m (10)


# PBE CaPmSc4S8, relaxed
data_CaPmSc4S8
_chemical_formula_sum 'Ca1 Pm1 Sc4 S8'
_space_group_name_H-M_alt 'P 1'
_space_group_IT_number 1
_cell_length_a 7.908
_cell_length_b 7.908
_cell_length_c 7.908
_cell_angle_alpha 58.54
_cell_angle_beta 58.54
_cell_angle_gamma 58.54
loop_
_space_group_symop_operation_xyz
'x,y,z'
loop_
_atom_site_label
_atom_site_fract_x
_atom_site_fract_y
_atom_site_fract_z
_atom_site_occupancy
Ca1 0.000 0.000 0.000 1
Pm1 0.370 0.370 0.370 1
Sc1 0.369 0.369 0.876 1
Sc2 0.369 0.876 0.369 1
Sc3 0.744 0.744 0.744 1
Sc4 0.876 0.369 0.369 1
S1 0.122 0.122 0.586 1
S2 0.122 0.586 0.122 1
S3 0.136 0.136 0.136 1
S4 0.136 0.625 0.625 1
S5 0.586 0.122 0.122 1
S6 0.613 0.613 0.613 1
S7 0.625 0.136 0.625 1
S8 0.625 0.625 0.136 1
# - volume (Å³ per cell) = 338.03
# - raw formation energy (meV per atom) = -1872
# - SG = R3m (160)


# PBE CaPm4Sm3S8, relaxed
data_CaPm4Sm3S8
_chemical_formula_sum 'Ca1 Pm4 Sm3 S8'
_space_group_name_H-M_alt 'P 1'
_space_group_IT_number 1
_cell_length_a 8.049
_cell_length_b 8.049
_cell_length_c 8.049
_cell_angle_alpha 59.94
_cell_angle_beta 59.94
_cell_angle_gamma 59.94
loop_
_space_group_symop_operation_xyz
'x,y,z'
loop_
_atom_site_label
_atom_site_fract_x
_atom_site_fract_y
_atom_site_fract_z
_atom_site_occupancy
Ca1 0.000 0.000 0.000 1
Pm1 0.000 0.000 0.500 1
Pm2 0.000 0.500 0.000 1
Pm3 0.500 0.000 0.000 1
Pm4 0.500 0.500 0.500 1
Sm1 0.000 0.500 0.500 1
Sm2 0.500 0.000 0.500 1
Sm3 0.500 0.500 0.000 1
S1 0.247 0.247 0.751 1
S2 0.247 0.751 0.247 1
S3 0.249 0.753 0.753 1
S4 0.251 0.251 0.251 1
S5 0.749 0.749 0.749 1
S6 0.751 0.247 0.247 1
S7 0.753 0.249 0.753 1
S8 0.753 0.753 0.249 1
# - volume (Å³ per cell) = 368.29
# - raw formation energy (meV per atom) = -2033
# - SG = R-3m (166)


# PBE CaPmSm4S8, relaxed
data_CaPmSm4S8
_chemical_formula_sum 'Ca1 Pm1 Sm4 S8'
_space_group_name_H-M_alt 'P 1'
_space_group_IT_number 1
_cell_length_a 8.265
_cell_length_b 8.265
_cell_length_c 8.265
_cell_angle_alpha 59.93
_cell_angle_beta 59.93
_cell_angle_gamma 59.93
loop_
_space_group_symop_operation_xyz
'x,y,z'
loop_
_atom_site_label
_atom_site_fract_x
_atom_site_fract_y
_atom_site_fract_z
_atom_site_occupancy
Ca1 0.000 0.000 0.000 1
Pm1 0.627 0.627 0.627 1
Sm1 0.119 0.627 0.627 1
Sm2 0.250 0.250 0.250 1
Sm3 0.627 0.119 0.627 1
Sm4 0.627 0.627 0.119 1
S1 0.382 0.382 0.851 1
S2 0.382 0.851 0.382 1
S3 0.383 0.383 0.383 1
S4 0.402 0.867 0.867 1
S5 0.851 0.382 0.382 1
S6 0.866 0.866 0.866 1
S7 0.867 0.402 0.867 1
S8 0.867 0.867 0.402 1
# - volume (Å³ per cell) = 398.61
# - raw formation energy (meV per atom) = -1981
# - SG = R3m (160)


# PBE CaPm3Sm2S6, relaxed
data_CaPm3Sm2S6
_chemical_formula_sum 'Ca1 Pm3 Sm2 S6'
_space_group_name_H-M_alt 'P 1'
_space_group_IT_number 1
_cell_length_a 6.964
_cell_length_b 6.964
_cell_length_c 6.967
_cell_angle_alpha 99.53
_cell_angle_beta 99.53
_cell_angle_gamma 120.04
loop_
_space_group_symop_operation_xyz
'x,y,z'
loop_
_atom_site_label
_atom_site_fract_x
_atom_site_fract_y
_atom_site_fract_z
_atom_site_occupancy
Ca1 0.000 0.000 0.000 1
Pm1 0.167 0.833 0.500 1
Pm2 0.500 0.500 0.500 1
Pm3 0.833 0.167 0.500 1
Sm1 0.333 0.667 0.000 1
Sm2 0.667 0.333 0.000 1
S1 0.082 0.412 0.246 1
S2 0.248 0.248 0.755 1
S3 0.412 0.082 0.246 1
S4 0.588 0.918 0.754 1
S5 0.752 0.752 0.245 1
S6 0.918 0.588 0.754 1
# - volume (Å³ per cell) = 275.96
# - raw formation energy (meV per atom) = -2040
# - SG = C2/m (12)


# PBE CaPm2Sm3S6, relaxed
data_CaPm2Sm3S6
_chemical_formula_sum 'Ca1 Pm2 Sm3 S6'
_space_group_name_H-M_alt 'P 1'
_space_group_IT_number 1
_cell_length_a 6.962
_cell_length_b 6.962
_cell_length_c 6.952
_cell_angle_alpha 99.54
_cell_angle_beta 99.54
_cell_angle_gamma 120.05
loop_
_space_group_symop_operation_xyz
'x,y,z'
loop_
_atom_site_label
_atom_site_fract_x
_atom_site_fract_y
_atom_site_fract_z
_atom_site_occupancy
Ca1 0.000 0.000 0.000 1
Pm1 0.333 0.667 0.000 1
Pm2 0.667 0.333 0.000 1
Sm1 0.167 0.833 0.500 1
Sm2 0.500 0.500 0.500 1
Sm3 0.833 0.167 0.500 1
S1 0.083 0.412 0.250 1
S2 0.245 0.245 0.751 1
S3 0.412 0.083 0.250 1
S4 0.588 0.917 0.750 1
S5 0.755 0.755 0.249 1
S6 0.917 0.588 0.750 1
# - volume (Å³ per cell) = 275.18
# - raw formation energy (meV per atom) = -2038
# - SG = C2/m (12)


# PBE Ca2PmSmS4, relaxed
data_Ca2PmSmS4
_chemical_formula_sum 'Ca2 Pm1 Sm1 S4'
_space_group_name_H-M_alt 'P 1'
_space_group_IT_number 1
_cell_length_a 6.917
_cell_length_b 3.999
_cell_length_c 7.051
_cell_angle_alpha 90.00
_cell_angle_beta 109.13
_cell_angle_gamma 90.00
loop_
_space_group_symop_operation_xyz
'x,y,z'
loop_
_atom_site_label
_atom_site_fract_x
_atom_site_fract_y
_atom_site_fract_z
_atom_site_occupancy
Ca1 0.000 0.000 0.000 1
Ca2 0.500 0.500 0.000 1
Pm1 0.000 0.500 0.500 1
Sm1 0.500 0.000 0.500 1
S1 0.250 0.500 0.247 1
S2 0.252 0.000 0.754 1
S3 0.748 0.000 0.246 1
S4 0.750 0.500 0.753 1
# - volume (Å³ per cell) = 184.26
# - raw formation energy (meV per atom) = -2062
# - SG = P2/m (10)


# PBE CaPm4SmS8, relaxed
data_CaPm4SmS8
_chemical_formula_sum 'Ca1 Pm4 Sm1 S8'
_space_group_name_H-M_alt 'P 1'
_space_group_IT_number 1
_cell_length_a 8.280
_cell_length_b 8.280
_cell_length_c 8.280
_cell_angle_alpha 60.06
_cell_angle_beta 60.06
_cell_angle_gamma 60.06
loop_
_space_group_symop_operation_xyz
'x,y,z'
loop_
_atom_site_label
_atom_site_fract_x
_atom_site_fract_y
_atom_site_fract_z
_atom_site_occupancy
Ca1 0.000 0.000 0.000 1
Pm1 0.120 0.627 0.627 1
Pm2 0.250 0.250 0.250 1
Pm3 0.627 0.120 0.627 1
Pm4 0.627 0.627 0.120 1
Sm1 0.627 0.627 0.627 1
S1 0.383 0.383 0.383 1
S2 0.384 0.384 0.850 1
S3 0.384 0.850 0.384 1
S4 0.402 0.865 0.865 1
S5 0.850 0.384 0.384 1
S6 0.865 0.402 0.865 1
S7 0.865 0.865 0.402 1
S8 0.866 0.866 0.866 1
# - volume (Å³ per cell) = 401.96
# - raw formation energy (meV per atom) = -1980
# - SG = R3m (160)


# PBE Ca2PmSnS4, relaxed
data_Ca2PmSnS4
_chemical_formula_sum 'Ca2 Pm1 Sn1 S4'
_space_group_name_H-M_alt 'P 1'
_space_group_IT_number 1
_cell_length_a 7.038
_cell_length_b 4.038
_cell_length_c 7.101
_cell_angle_alpha 90.00
_cell_angle_beta 109.28
_cell_angle_gamma 90.00
loop_
_space_group_symop_operation_xyz
'x,y,z'
loop_
_atom_site_label
_atom_site_fract_x
_atom_site_fract_y
_atom_site_fract_z
_atom_site_occupancy
Ca1 0.000 0.000 0.000 1
Ca2 0.000 0.500 0.500 1
Pm1 0.500 0.000 0.500 1
Sn1 0.500 0.500 0.000 1
S1 0.245 0.000 0.744 1
S2 0.246 0.500 0.250 1
S3 0.754 0.500 0.750 1
S4 0.755 0.000 0.256 1
# - volume (Å³ per cell) = 190.48
# - raw formation energy (meV per atom) = -1616
# - SG = P2/m (10)


# PBE SrCa2PmS4, relaxed
data_SrCa2PmS4
_chemical_formula_sum 'Sr1 Ca2 Pm1 S4'
_space_group_name_H-M_alt 'P 1'
_space_group_IT_number 1
_cell_length_a 7.075
_cell_length_b 4.079
_cell_length_c 7.109
_cell_angle_alpha 90.00
_cell_angle_beta 109.38
_cell_angle_gamma 90.00
loop_
_space_group_symop_operation_xyz
'x,y,z'
loop_
_atom_site_label
_atom_site_fract_x
_atom_site_fract_y
_atom_site_fract_z
_atom_site_occupancy
Sr1 0.000 0.000 0.000 1
Ca1 0.500 0.000 0.500 1
Ca2 0.500 0.500 0.000 1
Pm1 0.000 0.500 0.500 1
S1 0.255 0.000 0.745 1
S2 0.258 0.500 0.261 1
S3 0.742 0.500 0.739 1
S4 0.745 0.000 0.255 1
# - volume (Å³ per cell) = 193.55
# - raw formation energy (meV per atom) = -2083
# - SG = P2/m (10)